Record 1
This record from the Alexandria database describes crystalline Dy3Y5H12 at its relaxed geometry. The functional is PBE-GGA.

Summary:
The calculation puts the density of states at the Fermi level at 45.09 states/eV per cell. The total energy comes out at -4.80 eV per atom.

Cell and atoms, written as POSCAR:
```
Dy3Y5H12
1.0
11.320 0.000 0.000
-3.773 10.673 0.000
-3.773 -5.336 9.243
Y H Dy
20 48 12
direct
0.250 0.375 0.625
0.500 0.000 0.500
0.250 0.875 0.125
0.625 0.750 0.875
0.375 0.125 0.750
0.000 0.000 0.500
0.750 0.125 0.875
0.000 0.500 0.500
0.875 0.250 0.625
0.125 0.750 0.375
0.125 0.375 0.250
0.375 0.250 0.125
0.500 0.000 0.000
0.625 0.875 0.250
0.000 0.000 0.000
0.500 0.500 0.000
0.875 0.625 0.750
0.500 0.500 0.500
0.750 0.625 0.375
0.000 0.500 0.000
0.158 0.069 0.723
0.154 0.431 0.089
0.569 0.846 0.411
0.158 0.089 0.934
0.277 0.431 0.842
0.089 0.158 0.434
0.154 0.723 0.566
0.223 0.566 0.654
0.589 0.934 0.658
0.846 0.569 0.911
0.589 0.654 0.431
0.777 0.342 0.931
0.434 0.658 0.089
0.569 0.723 0.658
0.089 0.931 0.154
0.411 0.066 0.342
0.658 0.434 0.589
0.566 0.223 0.154
0.931 0.842 0.777
0.346 0.934 0.777
0.431 0.154 0.589
0.723 0.569 0.158
0.566 0.342 0.911
0.431 0.277 0.342
0.777 0.434 0.346
0.931 0.089 0.654
0.346 0.411 0.069
0.066 0.654 0.723
0.277 0.846 0.934
0.934 0.346 0.277
0.654 0.066 0.223
0.069 0.911 0.346
0.342 0.777 0.431
0.842 0.911 0.066
0.434 0.777 0.846
0.654 0.589 0.931
0.411 0.346 0.569
0.066 0.411 0.842
0.658 0.223 0.569
0.846 0.277 0.434
0.069 0.158 0.223
0.911 0.069 0.846
0.911 0.842 0.566
0.934 0.589 0.158
0.223 0.658 0.069
0.842 0.931 0.277
0.342 0.566 0.411
0.723 0.154 0.066
0.125 0.875 0.750
0.375 0.750 0.625
0.625 0.375 0.750
0.750 0.875 0.625
0.250 0.625 0.875
0.875 0.750 0.125
0.125 0.250 0.875
0.375 0.625 0.250
0.250 0.125 0.375
0.875 0.125 0.250
0.625 0.250 0.375
0.750 0.375 0.125
```

***

Record 2
This record from the Alexandria database describes crystalline NpGa4Au3 at its relaxed geometry. The functional is PBE-GGA.

Summary:
For the energy of formation, the calculation gives -0.213 eV/atom. The calculation puts the density of states at the Fermi level at 12.91 states/eV per cell.

Cell and atoms, written as POSCAR:
```
NpGa4Au3
1.0
-0.038 3.819 -1.965
-0.259 -1.964 -3.811
-8.822 0.175 0.511
Ga Au Np
4 3 1
direct
0.500 0.000 0.178
0.000 0.500 0.178
0.500 0.000 0.822
0.000 0.500 0.822
0.500 0.500 0.652
0.000 0.000 0.000
0.500 0.500 0.348
0.000 0.000 0.500
```

***

Record 3
This record from the Alexandria database describes crystalline Cs6Hg3Cl at its relaxed geometry. The functional is PBE-GGA.

Summary:
The calculation puts the density of states at the Fermi level at 19.37 states/eV per cell. For the uncorrected formation energy, the calculation gives -0.48 eV per atom.

Cell and atoms, written as POSCAR:
```
Cs6Hg3Cl
1.0
-2.481 8.571 -2.123
-6.021 -3.582 -7.424
-9.967 -1.509 8.811
Cs Hg Cl
12 6 2
direct
0.184 0.333 0.562
0.853 0.691 0.070
0.347 0.538 0.261
0.153 0.038 0.239
0.816 0.667 0.438
0.847 0.962 0.761
0.647 0.191 0.430
0.653 0.462 0.739
0.147 0.309 0.930
0.353 0.809 0.570
0.684 0.167 0.062
0.316 0.833 0.938
0.943 0.374 0.267
0.557 0.874 0.233
0.443 0.126 0.767
0.000 0.000 0.500
0.500 0.500 0.000
0.057 0.626 0.733
0.000 0.000 0.000
0.500 0.500 0.500
```

***

Record 4
This record from the Alexandria database describes crystalline NaAc6Tl6 at its relaxed geometry. The functional is PBE-GGA.

Summary:
For the energy of formation, the calculation gives -0.200 eV/atom. The calculation puts the density of states at the Fermi level at 14.25 states/eV per cell.

Cell and atoms, written as POSCAR:
```
NaAc6Tl6
1.0
-3.231 5.245 -3.127
-1.079 -6.485 -2.124
-8.817 -0.979 7.467
Na Tl Ac
1 6 6
direct
0.000 0.000 0.000
0.000 0.500 0.245
0.500 0.500 0.245
0.500 0.500 0.755
0.000 0.500 0.755
0.500 0.000 0.755
0.500 0.000 0.245
0.333 0.667 0.500
0.667 0.333 0.500
0.000 0.000 0.323
0.667 0.333 0.000
0.000 0.000 0.677
0.333 0.667 0.000
```

***

Record 5
This record from the Alexandria database describes crystalline AlCdTe2 at its relaxed geometry. The functional is PBE-GGA.

Summary:
The value obtained for the energy relative to the lowest polymorph listed for this composition is 1.65 eV per formula unit. The calculation puts the density of states at the Fermi level at 1.91 states/eV per cell. For the uncorrected formation energy, the calculation gives 0.11 eV per atom.

Cell and atoms, written as POSCAR:
```
AlCdTe2
1.0
3.271 0.000 0.000
0.000 3.271 0.000
0.000 0.000 10.025
Te Cd Al
2 1 1
direct
0.500 0.500 0.320
0.000 0.000 0.958
0.500 0.500 0.709
0.000 0.000 0.514
```

***

Record 6
This record from the Alexandria database describes crystalline Sc5CdIn6 at its relaxed geometry. The functional is PBE-GGA.

Summary:
For the energy of formation, the calculation gives -0.369 eV/atom. The calculation puts the density of states at the Fermi level at 8.34 states/eV per cell.

Cell and atoms, written as POSCAR:
```
Sc5CdIn6
1.0
-2.730 1.332 -3.354
-5.118 -2.191 6.349
4.297 6.897 2.294
In Sc Cd
6 5 1
direct
0.255 0.083 0.425
0.759 0.259 0.259
0.745 0.917 0.575
0.241 0.741 0.741
0.745 0.575 0.917
0.255 0.425 0.083
0.500 0.154 0.846
0.500 0.500 0.500
0.500 0.846 0.154
0.000 0.668 0.332
0.000 0.332 0.668
0.000 0.000 0.000
```

***

Record 7
This record from the Alexandria database describes crystalline Li2InPd5 at its relaxed geometry. The functional is PBE-GGA.

Summary:
The value obtained for the energy relative to the lowest polymorph listed for this composition is 0.48 eV per formula unit. For the energy of formation, the calculation gives -0.376 eV/atom. The calculation puts the density of states at the Fermi level at 3.64 states/eV per cell.

Cell and atoms, written as POSCAR:
```
Li2InPd5
1.0
-2.926 -3.479 -4.913
5.810 -3.061 -1.293
-2.710 -0.619 6.612
Li Pd In
4 10 2
direct
0.352 0.852 0.000
0.148 0.352 0.000
0.648 0.148 0.000
0.852 0.648 0.000
0.700 0.200 0.697
0.998 0.498 0.697
0.498 0.700 0.697
0.800 0.002 0.303
0.200 0.998 0.697
0.000 0.000 0.000
0.300 0.800 0.303
0.500 0.500 0.000
0.002 0.502 0.303
0.502 0.300 0.303
0.250 0.250 0.500
0.750 0.750 0.500
```

***

Please write out number 3 again, unchanged.
This record from the Alexandria database describes crystalline Cs6Hg3Cl at its relaxed geometry. The functional is PBE-GGA.

Summary:
The calculation puts the density of states at the Fermi level at 19.37 states/eV per cell. For the uncorrected formation energy, the calculation gives -0.48 eV per atom.

Cell and atoms, written as POSCAR:
```
Cs6Hg3Cl
1.0
-2.481 8.571 -2.123
-6.021 -3.582 -7.424
-9.967 -1.509 8.811
Cs Hg Cl
12 6 2
direct
0.184 0.333 0.562
0.853 0.691 0.070
0.347 0.538 0.261
0.153 0.038 0.239
0.816 0.667 0.438
0.847 0.962 0.761
0.647 0.191 0.430
0.653 0.462 0.739
0.147 0.309 0.930
0.353 0.809 0.570
0.684 0.167 0.062
0.316 0.833 0.938
0.943 0.374 0.267
0.557 0.874 0.233
0.443 0.126 0.767
0.000 0.000 0.500
0.500 0.500 0.000
0.057 0.626 0.733
0.000 0.000 0.000
0.500 0.500 0.500
```

***

Please write out number 5 again, unchanged.
This record from the Alexandria database describes crystalline AlCdTe2 at its relaxed geometry. The functional is PBE-GGA.

Summary:
The value obtained for the energy relative to the lowest polymorph listed for this composition is 1.65 eV per formula unit. The calculation puts the density of states at the Fermi level at 1.91 states/eV per cell. For the uncorrected formation energy, the calculation gives 0.11 eV per atom.

Cell and atoms, written as POSCAR:
```
AlCdTe2
1.0
3.271 0.000 0.000
0.000 3.271 0.000
0.000 0.000 10.025
Te Cd Al
2 1 1
direct
0.500 0.500 0.320
0.000 0.000 0.958
0.500 0.500 0.709
0.000 0.000 0.514
```